# YSi2Tc (PBE-GGA, relaxed)
# - ΔE_f (raw) (kJ/mol of atoms) = -45
# - SG = P4/mmm, No. 123
# - energy relative to the lowest polymorph listed for this composition (meV/atom) = 235
# - magnetization (μB/atom) = 0.05
data_YSi2Tc
_cell_length_a 3.131
_cell_length_b 3.131
_cell_length_c 6.834
_cell_angle_alpha 90.00
_cell_angle_beta 90.00
_cell_angle_gamma 90.00
_symmetry_space_group_name_H-M 'P 1'
_symmetry_Int_Tables_number 1
loop_
_symmetry_equiv_pos_as_xyz
'x,y,z'
loop_
_atom_site_label
_atom_site_fract_x
_atom_site_fract_y
_atom_site_fract_z
Si1 0.000 0.000 0.058
Si2 0.000 0.000 0.442
Tc1 0.500 0.500 0.250
Y1 0.500 0.500 0.750

***

# Y2SiTc2 (PBE-GGA, relaxed)
# - ΔE_f (raw) (kJ/mol of atoms) = -24
# - SG = P4/mbm, No. 127
# - energy relative to the lowest polymorph listed for this composition (meV/atom) = 0
# - magnetization (μB/atom) = 0.00
data_Y2SiTc2
_cell_length_a 6.589
_cell_length_b 6.589
_cell_length_c 4.646
_cell_angle_alpha 90.00
_cell_angle_beta 90.00
_cell_angle_gamma 90.00
_symmetry_space_group_name_H-M 'P 1'
_symmetry_Int_Tables_number 1
loop_
_symmetry_equiv_pos_as_xyz
'x,y,z'
loop_
_atom_site_label
_atom_site_fract_x
_atom_site_fract_y
_atom_site_fract_z
Y1 0.177 0.677 0.500
Y2 0.677 0.823 0.500
Y3 0.823 0.323 0.500
Y4 0.323 0.177 0.500
Si1 0.000 0.000 0.000
Si2 0.500 0.500 0.000
Tc1 0.372 0.872 0.000
Tc2 0.872 0.628 0.000
Tc3 0.628 0.128 0.000
Tc4 0.128 0.372 0.000

***

# Y4SiTc (PBE-GGA, relaxed)
# - ΔE_f (raw) (kJ/mol of atoms) = 82
# - SG = F-43m, No. 216
# - magnetization (μB/atom) = 0.25
data_Y4SiTc
_cell_length_a 5.968
_cell_length_b 5.968
_cell_length_c 5.968
_cell_angle_alpha 60.00
_cell_angle_beta 60.00
_cell_angle_gamma 60.00
_symmetry_space_group_name_H-M 'P 1'
_symmetry_Int_Tables_number 1
loop_
_symmetry_equiv_pos_as_xyz
'x,y,z'
loop_
_atom_site_label
_atom_site_fract_x
_atom_site_fract_y
_atom_site_fract_z
Y1 0.878 0.374 0.374
Y2 0.374 0.374 0.878
Y3 0.374 0.878 0.374
Y4 0.374 0.374 0.374
Si1 0.750 0.750 0.750
Tc1 0.000 0.000 0.000

***

# YSi2Tc (PBE-GGA, relaxed)
# - ΔE_f (raw) (kJ/mol of atoms) = -35
# - SG = P4mm, No. 99
# - energy relative to the lowest polymorph listed for this composition (meV/atom) = 344
# - magnetization (μB/atom) = 0.00
data_YSi2Tc
_cell_length_a 3.240
_cell_length_b 3.240
_cell_length_c 6.598
_cell_angle_alpha 90.00
_cell_angle_beta 90.00
_cell_angle_gamma 90.00
_symmetry_space_group_name_H-M 'P 1'
_symmetry_Int_Tables_number 1
loop_
_symmetry_equiv_pos_as_xyz
'x,y,z'
loop_
_atom_site_label
_atom_site_fract_x
_atom_site_fract_y
_atom_site_fract_z
Si1 0.000 0.000 0.054
Si2 0.500 0.500 0.274
Tc1 0.000 0.000 0.424
Y1 0.500 0.500 0.747

***

# Y2Si4Tc3 (PBE-GGA, relaxed)
# - ΔE_f (raw) (kJ/mol of atoms) = -71
# - SG = P2_1/c, No. 14
# - energy relative to the lowest polymorph listed for this composition (meV/atom) = 0
# - magnetization (μB/atom) = 0.00
data_Y2Si4Tc3
_cell_length_a 6.789
_cell_length_b 6.781
_cell_length_c 6.793
_cell_angle_alpha 90.00
_cell_angle_beta 90.00
_cell_angle_gamma 110.17
_symmetry_space_group_name_H-M 'P 1'
_symmetry_Int_Tables_number 1
loop_
_symmetry_equiv_pos_as_xyz
'x,y,z'
loop_
_atom_site_label
_atom_site_fract_x
_atom_site_fract_y
_atom_site_fract_z
Y1 0.558 0.191 0.332
Y2 0.942 0.809 0.832
Y3 0.442 0.809 0.668
Y4 0.058 0.191 0.168
Si1 0.878 0.103 0.552
Si2 0.622 0.897 0.052
Si3 0.122 0.897 0.448
Si4 0.378 0.103 0.948
Si5 0.869 0.514 0.141
Si6 0.631 0.486 0.641
Si7 0.131 0.486 0.859
Si8 0.369 0.514 0.359
Tc1 0.000 0.500 0.500
Tc2 0.500 0.500 0.000
Tc3 0.757 0.240 0.850
Tc4 0.743 0.760 0.350
Tc5 0.243 0.760 0.150
Tc6 0.257 0.240 0.650

***

# YSi3Tc5 (PBE-GGA, relaxed)
# - ΔE_f (raw) (kJ/mol of atoms) = -33
# - SG = Cmcm, No. 63
# - magnetization (μB/atom) = 0.00
data_YSi3Tc5
_cell_length_a 4.243
_cell_length_b 6.468
_cell_length_c 11.382
_cell_angle_alpha 90.00
_cell_angle_beta 90.00
_cell_angle_gamma 109.15
_symmetry_space_group_name_H-M 'P 1'
_symmetry_Int_Tables_number 1
loop_
_symmetry_equiv_pos_as_xyz
'x,y,z'
loop_
_atom_site_label
_atom_site_fract_x
_atom_site_fract_y
_atom_site_fract_z
Y1 0.851 0.701 0.750
Y2 0.149 0.299 0.250
Si1 0.404 0.809 0.926
Si2 0.849 0.698 0.250
Si3 0.404 0.809 0.574
Si4 0.596 0.191 0.426
Si5 0.151 0.302 0.750
Si6 0.596 0.191 0.074
Tc1 0.793 0.587 0.461
Tc2 0.207 0.413 0.961
Tc3 0.000 0.000 0.500
Tc4 0.000 0.000 0.000
Tc5 0.409 0.818 0.147
Tc6 0.591 0.182 0.853
Tc7 0.591 0.182 0.647
Tc8 0.793 0.587 0.039
Tc9 0.207 0.413 0.539
Tc10 0.409 0.818 0.353

***

# YSiTc3 (PBE-GGA, relaxed)
# - ΔE_f (raw) (kJ/mol of atoms) = 30
# - SG = Pm-3m, No. 221
# - energy relative to the lowest polymorph listed for this composition (meV/atom) = 0
# - magnetization (μB/atom) = 0.43
data_YSiTc3
_cell_length_a 4.528
_cell_length_b 4.528
_cell_length_c 4.528
_cell_angle_alpha 90.00
_cell_angle_beta 90.00
_cell_angle_gamma 90.00
_symmetry_space_group_name_H-M 'P 1'
_symmetry_Int_Tables_number 1
loop_
_symmetry_equiv_pos_as_xyz
'x,y,z'
loop_
_atom_site_label
_atom_site_fract_x
_atom_site_fract_y
_atom_site_fract_z
Y1 0.500 0.500 0.500
Si1 0.000 0.000 0.000
Tc1 0.000 0.500 0.000
Tc2 0.000 0.000 0.500
Tc3 0.500 0.000 0.000

***

# YSi2Tc (PBE-GGA, relaxed)
# - ΔE_f (raw) (kJ/mol of atoms) = -23
# - SG = Immm, No. 71
# - energy relative to the lowest polymorph listed for this composition (meV/atom) = 467
# - magnetization (μB/atom) = 0.00
data_YSi2Tc
_cell_length_a 5.164
_cell_length_b 5.164
_cell_length_c 5.164
_cell_angle_alpha 142.16
_cell_angle_beta 118.15
_cell_angle_gamma 74.84
_symmetry_space_group_name_H-M 'P 1'
_symmetry_Int_Tables_number 1
loop_
_symmetry_equiv_pos_as_xyz
'x,y,z'
loop_
_atom_site_label
_atom_site_fract_x
_atom_site_fract_y
_atom_site_fract_z
Si1 0.031 0.031 0.000
Si2 0.469 0.469 0.000
Tc1 0.250 0.750 0.500
Y1 0.750 0.250 0.500